# 1
Material: CePu2
Method: DFT, PBE-GGA
State: optimized geometry

Output
VASP energy (eV/cell): -67.53
E_form (eV per atom): 0.28
E above lowest polymorph (meV per atom): 17

a = 3.238 Å, b = 3.238 Å, c = 12.227 Å
α = 90.00°, β = 90.00°, γ = 90.00°
Space group I4/mmm (No. 139)
One atom of each set of equivalent atoms:
Ce: 0.000 0.000 0.000 [2 per cell]
Pu: 0.000 0.000 0.288 [4 per cell]

---

# 2
Material: Ce2Pu
Method: DFT, PBE-GGA
State: optimized geometry

Output
VASP energy (eV/cell): -51.94
E_form (eV per atom): 0.08
E above lowest polymorph (meV per atom): 0

a = 3.310 Å, b = 3.310 Å, c = 13.876 Å
α = 90.00°, β = 90.00°, γ = 90.00°
Space group I4/mmm (No. 139)
One atom of each set of equivalent atoms:
Ce: 0.000 0.000 0.165 [4 per cell]
Pu: 0.000 0.000 0.500 [2 per cell]

---

# 3
Material: Ce3Pu
Method: DFT, PBE-GGA
State: optimized geometry

Output
VASP energy (eV/cell): -31.69
E_form (eV per atom): 0.11
E above lowest polymorph (meV per atom): 77

a = 3.320 Å, b = 5.560 Å, c = 5.632 Å
α = 90.00°, β = 90.00°, γ = 90.00°
Space group Pmm2 (No. 25)
One atom of each set of equivalent atoms:
Ce: 0.000 0.000 0.000 [1 per cell]
Ce: 0.000 0.500 0.357 [1 per cell]
Ce: 0.500 0.500 0.896 [1 per cell]
Pu: 0.500 0.000 0.535 [1 per cell]

---

# 4
Material: Ce2Pu
Method: DFT, PBE-GGA
State: optimized geometry

Output
VASP energy (eV/cell): -76.40
E_form (eV per atom): 0.24
E above lowest polymorph (meV per atom): 167

a = 6.3084 Å, b = 6.3084 Å, c = 6.5146 Å
α = 90.00°, β = 90.00°, γ = 120.00°
Space group P-31m (No. 162)
One atom of each set of equivalent atoms:
Ce: 0.0000 0.3474 0.2357 [6 per cell]
Pu: 0.0000 0.0000 0.5000 [1 per cell]
Pu: 0.3333 0.6667 0.0000 [2 per cell]

---

# 5
Material: Ce4Pu
Method: DFT, PBE-GGA
State: optimized geometry

Output
VASP energy (eV/cell): -305.23
E_form (eV per atom): -0.02
E above lowest polymorph (meV per atom): 0

a = 12.207 Å, b = 12.369 Å, c = 7.260 Å
α = 90.00°, β = 90.00°, γ = 90.00°
Space group Fdd2 (No. 43)
One atom of each set of equivalent atoms:
Ce: 0.083 0.376 0.000 [16 per cell]
Ce: 0.086 0.379 0.529 [16 per cell]
Pu: 0.000 0.000 0.285 [8 per cell]

---

# 6
Material: CePu4
Method: DFT, PBE-GGA
State: optimized geometry

Output
VASP energy (eV/cell): -59.58
E_form (eV per atom): 0.74
E above lowest polymorph (meV per atom): 439

a = 5.324 Å, b = 5.324 Å, c = 5.324 Å
α = 90.00°, β = 90.00°, γ = 90.00°
Space group Pm-3m (No. 221)
One atom of each set of equivalent atoms:
Ce: 0.000 0.000 0.000 [1 per cell]
Pu: 0.000 0.000 0.500 [3 per cell]
Pu: 0.500 0.500 0.500 [1 per cell]